[1]
## KTl2RuF8 (PBE)

Data for KTl2RuF8 after structural relaxation.

Output
SG   P2/m
Magnetization   2.947 μB per cell
Uncorrected formation energy   -1.978 eV/atom

Cell: 4.9001 6.3552 7.9216 Å, 90.00 89.99 96.30°
Last column: magnetic moment on the atom in μB.
Sites, in units of the cell vectors:
F: 0.3479 0.1637 0.0000  0.14
F: 0.1051 0.8154 0.1752  0.10
F: 0.8949 0.1846 0.8248  0.10
F: 0.5567 0.7338 0.5000  0.03
F: 0.6521 0.8363 0.0000  0.14
F: 0.8948 0.1845 0.1752  0.10
F: 0.1052 0.8155 0.8248  0.10
F: 0.4433 0.2662 0.5000  0.03
Ru: 0.0000 0.0000 0.0000  1.96
K: 0.0000 0.0000 0.5000  0.00
Tl: 0.5000 0.5000 0.7455  0.04
Tl: 0.5000 0.5000 0.2545  0.04



[2]
## K2TlRuF6 (PBE)

Data for K2TlRuF6 after structural relaxation.

Output
SG   Fm-3m
Magnetization   1.000 μB per cell
Uncorrected formation energy   -2.101 eV/atom

Cell: 6.5255 6.5255 6.5255 Å, 60.00 60.00 60.00°
Last column: magnetic moment on the atom in μB.
Sites, in units of the cell vectors:
F: 0.7806 0.2194 0.7806  0.02
F: 0.2194 0.7806 0.7806  0.02
F: 0.2194 0.2194 0.7806  0.02
F: 0.7806 0.7806 0.2194  0.02
F: 0.7806 0.2194 0.2194  0.02
F: 0.2194 0.7806 0.2194  0.02
Tl: 0.5000 0.5000 0.5000  0.00
K: 0.7500 0.7500 0.7500  0.00
K: 0.2500 0.2500 0.2500  0.00
Ru: 0.0000 0.0000 0.0000  0.84



[3]
## K2TlRuF6 (PBE)

Data for K2TlRuF6 after structural relaxation.

Output
SG   Pmmn
Magnetization   2.001 μB per cell
Uncorrected formation energy   -2.134 eV/atom

Cell: 6.0298 7.2948 9.0801 Å, 90.00 90.00 90.00°
Last column: magnetic moment on the atom in μB.
Sites, in units of the cell vectors:
Ru: 0.0000 0.8144 0.0000  0.83
Ru: 0.5000 0.1856 0.5000  0.83
F: 0.0000 0.8171 0.7756  0.01
F: 0.5000 0.1829 0.2756  0.01
F: 0.7548 0.6258 0.0000  0.02
F: 0.7354 0.9858 0.5000  0.02
F: 0.7646 0.0142 0.0000  0.02
F: 0.7452 0.3742 0.5000  0.02
F: 0.2452 0.6258 0.0000  0.02
F: 0.5000 0.1829 0.7244  0.01
F: 0.2548 0.3742 0.5000  0.02
F: 0.2354 0.0142 0.0000  0.02
F: 0.2646 0.9858 0.5000  0.02
F: 0.0000 0.8171 0.2244  0.01
Tl: 0.5000 0.3205 0.0000  0.00
Tl: 0.0000 0.6795 0.5000  0.00
K: 0.5000 0.8265 0.7908  0.00
K: 0.0000 0.1735 0.7092  0.00
K: 0.0000 0.1735 0.2908  0.00
K: 0.5000 0.8265 0.2092  0.00



[4]
## KTlRuF6 (PBE)

Data for KTlRuF6 after structural relaxation.

Output
SG   C2
Magnetization   2.000 μB per cell
Uncorrected formation energy   -2.069 eV/atom

Cell: 6.3283 6.3283 5.2831 Å, 90.03 89.97 59.91°
Last column: magnetic moment on the atom in μB.
Sites, in units of the cell vectors:
F: 0.0771 0.5901 0.7095  0.06
F: 0.3337 0.5885 0.2896  0.06
F: 0.3327 0.0784 0.7102  0.06
F: 0.5898 0.0769 0.2904  0.06
F: 0.0781 0.3332 0.2896  0.06
F: 0.5888 0.3333 0.7102  0.06
Tl: 0.9998 0.9998 0.0002  0.00
K: 0.6664 0.6664 0.5004  0.00
Ru: 0.3334 0.3334 0.4999  1.53



[5]
## KY2RuF (PBE)

Data for KY2RuF after structural relaxation.

Output
SG   P4/mmm
Magnetization   0.000 μB per cell
Uncorrected formation energy   1.259 eV/atom

Cell: 5.6497 4.4348 5.6497 Å, 90.00 90.00 90.00°
Sites, in units of the cell vectors:
Ru: 0.0000 0.5000 0.0000
F: 0.5000 0.5000 0.5000
K: 0.0000 0.0000 0.0000
Y: 0.5000 0.0000 0.0000
Y: 0.0000 0.0000 0.5000



[6]
## K2Zn3RuF12 (PBE)

Data for K2Zn3RuF12 after structural relaxation.

Output
SG   R-3m
Magnetization   2.000 μB per cell
Uncorrected formation energy   -2.270 eV/atom

Cell: 7.6803 7.6803 7.6803 Å, 56.86 56.86 56.86°
Last column: magnetic moment on the atom in μB.
Sites, in units of the cell vectors:
Zn: 0.5000 0.0000 0.0000  0.00
Zn: 0.0000 0.0000 0.5000  0.00
Zn: 0.0000 0.5000 0.0000  0.00
F: 0.6730 0.6730 0.0805  0.00
F: 0.0805 0.6730 0.6730  0.00
F: 0.9262 0.3137 0.9262  0.06
F: 0.9262 0.9262 0.3137  0.06
F: 0.6730 0.0805 0.6730  0.00
F: 0.0738 0.0738 0.6863  0.06
F: 0.3137 0.9262 0.9262  0.06
F: 0.9195 0.3270 0.3270  0.00
F: 0.3270 0.9195 0.3270  0.00
F: 0.3270 0.3270 0.9195  0.00
F: 0.6863 0.0738 0.0738  0.06
F: 0.0738 0.6863 0.0738  0.06
K: 0.4053 0.4053 0.4053  0.00
K: 0.5947 0.5947 0.5947  0.00
Ru: 0.0000 0.0000 0.0000  1.54



[7]
## KZnRuF6 (PBE)

Data for KZnRuF6 after structural relaxation.

Output
SG   Imma
Magnetization   2.002 μB per cell
Uncorrected formation energy   -2.105 eV/atom

Cell: 7.3229 7.4531 7.4705 Å, 119.92 119.35 90.00°
Last column: magnetic moment on the atom in μB.
Sites, in units of the cell vectors:
F: 0.8216 0.0716 0.6432  0.00
F: 0.5738 0.3238 0.1475  0.03
F: 0.8270 0.6651 0.2426  0.02
F: 0.8270 0.0775 0.2426  0.02
F: 0.5844 0.9225 0.7574  0.02
F: 0.1784 0.9284 0.3568  0.00
F: 0.5844 0.3349 0.7574  0.02
F: 0.4156 0.6651 0.2426  0.02
F: 0.1730 0.9225 0.7574  0.02
F: 0.4262 0.6762 0.8525  0.03
F: 0.1730 0.3349 0.7574  0.02
F: 0.4156 0.0775 0.2426  0.02
Ru: 0.5000 0.0000 0.0000  0.83
Ru: 0.5000 0.5000 0.0000  0.83
Zn: 0.0000 0.0000 0.5000  0.00
Zn: 0.5000 0.0000 0.5000  0.00
K: 0.0883 0.3383 0.1767  0.00
K: 0.9117 0.6617 0.8233  0.00



[8]
## KZn2RuF8 (PBE)

Data for KZn2RuF8 after structural relaxation.

Output
SG   R32
Magnetization   1.000 μB per cell
Uncorrected formation energy   -1.937 eV/atom

Cell: 4.9542 4.9542 9.3162 Å, 74.58 74.58 60.00°
Last column: magnetic moment on the atom in μB.
Sites, in units of the cell vectors:
F: 0.2248 0.8348 0.3452  0.02
F: 0.1652 0.7752 0.6548  0.02
F: 0.7752 0.4047 0.6548  0.02
F: 0.6887 0.6887 0.9339  0.00
F: 0.8348 0.5953 0.3452  0.02
F: 0.4047 0.1652 0.6548  0.02
F: 0.3113 0.3113 0.0661  0.00
F: 0.5953 0.2248 0.3452  0.02
Zn: 0.2413 0.2413 0.2761  0.00
Zn: 0.7587 0.7587 0.7239  0.00
K: 0.0000 0.0000 0.0000  0.00
Ru: 0.5000 0.5000 0.5000  0.82